An optimized crystal structure of FePRu2. Source: the Alexandria database, functional GGA-PBE.

Properties
The total energy is -0.2906 Ha/atom. The density comes out at 8.71 g/cm3. Its total magnetic moment is 0.92 μB per atom. The formation energy comes out at 0.20 eV per atom.

a = 2.799 Å, b = 2.799 Å, c = 7.896 Å
α = 90.00°, β = 90.00°, γ = 117.05°
Sites, in units of the cell vectors:
Fe: 0.000 0.000 0.000
P: 0.000 0.000 0.500
Ru: 0.500 0.500 0.275
Ru: 0.500 0.500 0.725